A plane-wave DFT calculation with PBE+U was carried out for a relaxed Ba2TlCrF8 crystal.

Cell and atoms, written as POSCAR:
```
Ba2TlCrF8
1.0
4.661 0.000 0.000
0.000 8.481 0.000
-0.957 0.000 5.584
Ba Tl Cr F
2 1 1 8
Direct
0.000 0.240 0.000
0.000 0.760 0.000
0.500 0.500 0.500
0.500 0.000 0.500
0.075 0.500 0.773
0.117 0.000 0.300
0.428 0.173 0.721
0.428 0.827 0.721
0.572 0.173 0.279
0.572 0.827 0.279
0.883 0.000 0.700
0.925 0.500 0.227
```

Final energy = -66.1 eV for the cell shown
Fermi-level density of states = 0.00 states/eV/atom
Magnetic moment = 2.99 μB per cell
Volume = 18.39 Å³ per atom